! AcErZnBi | Alexandria | PBE | relaxed; values from VASP
&SYSTEM
  ibrav = 0, nat = 4, ntyp = 4
/
ATOMIC_SPECIES
Zn 65.41 Zn.upf
Ac 227.00 Ac.upf
Bi 208.98 Bi.upf
Er 167.26 Er.upf
CELL_PARAMETERS angstrom
-0.4003 -5.3293 1.4073
4.5406 -3.1405 0.2499
1.9069 -1.7161 4.8950
ATOMIC_POSITIONS crystal
Zn 0.0000 0.0000 0.0000
Ac 0.2500 0.2500 0.2500
Bi 0.5000 0.5000 0.5000
Er 0.7500 0.7500 0.7500
! SG = No. 216
! ΔE_f = -0.362 eV per atom
! E = -15.27 eV per cell

---

! Ac2EuBi | Alexandria | PBE | relaxed; values from VASP
&SYSTEM
  ibrav = 0, nat = 4, ntyp = 3
/
ATOMIC_SPECIES
Eu 151.96 Eu.upf
Ac 227.00 Ac.upf
Bi 208.98 Bi.upf
CELL_PARAMETERS angstrom
5.1240 0.0000 0.0000
0.0000 5.3980 0.0000
0.0000 0.0000 5.3980
ATOMIC_POSITIONS crystal
Eu 0.5000 0.5000 0.5000
Ac 0.0000 0.0000 0.5000
Ac 0.0000 0.5000 0.0000
Bi 0.5000 0.0000 0.0000
! E above lowest polymorph = 0.0 meV per atom
! SG = No. 123
! ΔE_f = -0.383 eV per atom
! E = -23.90 eV per cell